AcZnPb: relaxed, PBE-GGA.

Output
Symmetry: F-43m, No. 216
Relative energy among the computed polymorphs in meV per atom: 120.9
Energy of formation in eV per atom: -0.313

a b c (Å): 5.1008 5.1008 5.1008
angles (deg): 60.00 60.00 60.00
Positions (direct):
Pb1 0.0000 0.0000 0.0000
Ac1 0.5000 0.5000 0.5000
Zn1 0.2500 0.2500 0.2500

AgBrCl: relaxed, PBE-GGA.

Output
Symmetry: P-1, No. 2
Uncorrected formation energy in meV per atom: -279
Relative energy among the computed polymorphs in meV per atom: 0.0

a b c (Å): 6.8822 7.6454 8.7118
angles (deg): 124.81 100.22 70.07
Positions (direct):
Ag1 0.7461 0.4999 0.1248
Ag2 0.7565 0.4988 0.6262
Ag3 0.2539 0.5001 0.8752
Ag4 0.2435 0.5012 0.3738
Br1 0.6206 0.2382 0.2969
Br2 0.8764 0.7691 0.9648
Br3 0.3794 0.7618 0.7031
Br4 0.1236 0.2309 0.0352
Cl1 0.8746 0.7320 0.4370
Cl2 0.6253 0.2650 0.8065
Cl3 0.1254 0.2680 0.5630
Cl4 0.3747 0.7350 0.1935